[1]
Computed, not measured: a relaxed structure of Zn3BrO at the PBE level of DFT.

## Properties
Density, g/cm³: 5.35
Space-group type: Pm-3m, No. 221
Uncorrected formation energy, meV/atom: -74

extended XYZ file:
```
5
Lattice="4.4933 0.0000 0.0000 0.0000 4.4933 0.0000 0.0000 0.0000 4.4933" Properties=species:S:1:pos:R:3 pbc="T T T"
Zn 0.0000 2.2466 0.0000
Zn 0.0000 0.0000 2.2466
Zn 2.2466 0.0000 0.0000
O 0.0000 0.0000 0.0000
Br 2.2466 2.2466 2.2466
```

---

[2]
Computed, not measured: a relaxed structure of ZnBrO at the PBE level of DFT.

## Properties
Density, g/cm³: 4.31
Space-group type: P2_1, No. 4
Uncorrected formation energy, meV/atom: -769

extended XYZ file:
```
6
Lattice="3.3505 0.0000 -0.0043 0.0000 5.4625 0.0000 -1.6554 0.0000 6.7894" Properties=species:S:1:pos:R:3 pbc="T T T"
Zn 2.5145 5.4004 0.2404
Zn -0.8193 2.6691 6.5447
Br 2.5225 0.1898 3.3425
Br -0.8274 2.9211 3.4426
O 0.8562 1.7996 6.6372
O 0.8389 4.5309 0.1480
```

---

[3]
Computed, not measured: a relaxed structure of ZnBrO at the PBE level of DFT.

## Properties
Density, g/cm³: 4.85
Space-group type: P4/mmm, No. 123
Uncorrected formation energy, meV/atom: -665

extended XYZ file:
```
3
Lattice="2.8680 0.0000 0.0000 0.0000 2.8680 0.0000 0.0000 0.0000 6.7178" Properties=species:S:1:pos:R:3 pbc="T T T"
Zn 0.0000 0.0000 0.0000
Br 0.0000 0.0000 3.3589
O 1.4340 1.4340 0.0000
```

---

[4]
Computed, not measured: a relaxed structure of ZnBrO at the PBE level of DFT.

## Properties
Density, g/cm³: 4.52
Space-group type: Pc, No. 7
Uncorrected formation energy, meV/atom: -678

extended XYZ file:
```
6
Lattice="-1.0370 -0.6300 -3.1523 0.8446 -6.5213 1.0254 -4.7989 -0.2692 2.2407" Properties=species:S:1:pos:R:3 pbc="T T T"
Zn -5.7225 -1.2168 -0.7022
Zn -2.0508 -6.5872 0.6688
Br -0.6481 -3.8010 -2.4880
Br -2.5116 -3.7552 0.2297
O -1.7666 -7.0612 -1.1313
O -4.4580 -0.6234 0.5813
```

---

[5]
Computed, not measured: a relaxed structure of ZnBr2O6 at the PBE level of DFT.

## Properties
Density, g/cm³: 3.83
Space-group type: R3, No. 146
Uncorrected formation energy, meV/atom: -96

extended XYZ file:
```
9
Lattice="4.6989 0.0000 1.9910 1.9276 4.2853 1.9910 -0.1257 -0.0813 6.8370" Properties=species:S:1:pos:R:3 pbc="T T T"
Zn 4.3029 2.7826 9.4658
Br 1.4714 0.9516 3.0676
Br 2.8221 1.8250 6.4202
O 3.1365 1.2467 3.1736
O 3.1619 3.9900 3.9361
O 5.4318 2.3490 4.4482
O 3.2690 2.9496 7.6087
O 3.3699 0.3015 6.9258
O 1.1274 1.7713 6.3783
```

---

[6]
Computed, not measured: a relaxed structure of ZnBr2O at the PBE level of DFT.

## Properties
Density, g/cm³: 5.28
Space-group type: Fm-3m, No. 225
Uncorrected formation energy, meV/atom: 457

extended XYZ file:
```
4
Lattice="-1.7614 -4.1923 1.3823 -3.3512 -2.1435 -2.6006 1.0463 -3.9395 -2.4441" Properties=species:S:1:pos:R:3 pbc="T T T"
Zn -2.0331 -5.1377 -1.8312
O 0.0000 0.0000 0.0000
Br -1.0166 -2.5688 -0.9156
Br -3.0497 -7.7065 -2.7468
```

---

[7]
Computed, not measured: a relaxed structure of ZnBrO2 at the PBE level of DFT.

## Properties
Density, g/cm³: 4.84
Space-group type: I-42d, No. 122
Uncorrected formation energy, meV/atom: -34

extended XYZ file:
```
8
Lattice="-4.7393 1.2218 -2.3311 0.0947 -4.7193 -2.6659 -4.3314 -3.5601 0.6367" Properties=species:S:1:pos:R:3 pbc="T T T"
Zn -2.3223 -1.7487 -2.4985
Zn -3.2795 -5.0141 -2.2638
O -3.7178 -0.7976 -1.4759
O -1.9314 -3.6056 -1.9535
O -4.9840 -4.2956 -1.5737
O -7.3189 -5.4165 -3.7175
Br 0.0000 0.0000 0.0000
Br -5.6965 -2.0436 -2.0964
```

---

[8]
Computed, not measured: a relaxed structure of ZnBrO2 at the PBE level of DFT.

## Properties
Density, g/cm³: 5.63
Space-group type: R-3m, No. 166
Uncorrected formation energy, meV/atom: -548

extended XYZ file:
```
4
Lattice="-4.2092 4.6630 0.2188 -2.4803 5.0237 2.8495 -1.4023 6.1267 0.0817" Properties=species:S:1:pos:R:3 pbc="T T T"
Zn -4.0459 7.9067 1.5750
O -7.2131 14.0961 2.8079
O -0.8787 1.7173 0.3421
Br 0.0000 0.0000 0.0000
```

---

Question: What is the density in the first record?
Answer: 5.35 g/cm³

---

Question: uncorrected formation energy of number 3 (ZnBrO)?
Answer: -665 meV/atom

---

Question: The lowest uncorrected formation energy belongs to which entry?
Answer: number 2

---

Question: What is the formula in the eighth record?
Answer: ZnBrO2